Entry 1:
Density functional theory data (GGA-PBE) for MoPW after structural relaxation. Values from VASP.

D(E_F) (states/eV per cell): 2.44
ΔE to the lowest computed polymorph (kcal/mol of atoms): 0.00

Geometry as Quantum ESPRESSO input:
```
&SYSTEM
  ibrav = 0, nat = 6, ntyp = 3
/
ATOMIC_SPECIES
Mo 95.94 Mo.upf
P 30.97 P.upf
W 183.84 W.upf
CELL_PARAMETERS angstrom
3.1867 0.0000 0.0000
0.0000 3.1867 0.0000
0.0000 0.0000 8.7606
ATOMIC_POSITIONS angstrom
Mo 0.7967 0.7967 1.8388
Mo 2.3900 2.3900 6.9218
P 0.7967 0.7967 7.9641
P 2.3900 2.3900 0.7965
W 0.7967 0.7967 5.1036
W 2.3900 2.3900 3.6569
```



Entry 2:
Density functional theory data (GGA-PBE) for MoPW2 after structural relaxation. Values from VASP.

D(E_F) (states/eV per cell): 1.89

Geometry as Quantum ESPRESSO input:
```
&SYSTEM
  ibrav = 0, nat = 4, ntyp = 3
/
ATOMIC_SPECIES
Mo 95.94 Mo.upf
P 30.97 P.upf
W 183.84 W.upf
CELL_PARAMETERS angstrom
-1.5596 2.1408 4.4619
1.5596 -2.1408 4.4619
1.5596 2.1408 -4.4619
ATOMIC_POSITIONS angstrom
Mo 0.0000 0.0000 0.0000
P 0.0000 0.0000 4.4619
W 1.5596 0.0000 2.3487
W 0.0000 2.1408 2.1132
```



Entry 3:
Density functional theory data (GGA-PBE) for Mo2PW after structural relaxation. Values from VASP.

D(E_F) (states/eV per cell): 3.89

Geometry as Quantum ESPRESSO input:
```
&SYSTEM
  ibrav = 0, nat = 4, ntyp = 3
/
ATOMIC_SPECIES
Mo 95.94 Mo.upf
P 30.97 P.upf
W 183.84 W.upf
CELL_PARAMETERS angstrom
3.1455 0.0000 0.0000
0.0000 3.1455 0.0000
0.0000 0.0000 6.0404
ATOMIC_POSITIONS angstrom
Mo 0.0000 0.0000 1.4237
Mo 0.0000 0.0000 4.6167
P 1.5728 1.5728 0.0000
W 1.5728 1.5728 3.0202
```



Entry 4:
Density functional theory data (GGA-PBE) for Mo2PW after structural relaxation. Values from VASP.

D(E_F) (states/eV per cell): 2.57

Geometry as Quantum ESPRESSO input:
```
&SYSTEM
  ibrav = 0, nat = 4, ntyp = 3
/
ATOMIC_SPECIES
Mo 95.94 Mo.upf
P 30.97 P.upf
W 183.84 W.upf
CELL_PARAMETERS angstrom
2.9855 0.0000 0.0000
0.0000 4.0798 0.0000
0.0000 0.0000 4.9893
ATOMIC_POSITIONS angstrom
Mo 0.0000 0.0000 1.1975
Mo 0.0000 0.0000 3.7918
P 1.4927 2.0399 0.0000
W 1.4927 2.0399 2.4947
```



Entry 5:
Density functional theory data (GGA-PBE) for MoP2W after structural relaxation. Values from VASP.

D(E_F) (states/eV per cell): 1.95
ΔE to the lowest computed polymorph (kcal/mol of atoms): 0.00

Geometry as Quantum ESPRESSO input:
```
&SYSTEM
  ibrav = 0, nat = 4, ntyp = 3
/
ATOMIC_SPECIES
Mo 95.94 Mo.upf
P 30.97 P.upf
W 183.84 W.upf
CELL_PARAMETERS angstrom
3.1644 0.0000 0.0000
0.0000 3.1644 0.0000
0.0000 0.0000 5.6161
ATOMIC_POSITIONS angstrom
Mo 0.0000 0.0000 0.0000
P 0.0000 0.0000 2.5894
P 1.5822 1.5822 1.0387
W 1.5822 1.5822 3.6436
```



Entry 6:
Density functional theory data (GGA-PBE) for Mo2PW after structural relaxation. Values from VASP.

D(E_F) (states/eV per cell): 3.56

Geometry as Quantum ESPRESSO input:
```
&SYSTEM
  ibrav = 0, nat = 4, ntyp = 3
/
ATOMIC_SPECIES
Mo 95.94 Mo.upf
P 30.97 P.upf
W 183.84 W.upf
CELL_PARAMETERS angstrom
3.1730 0.0000 0.0000
0.0000 3.1730 0.0000
0.0000 0.0000 5.9787
ATOMIC_POSITIONS angstrom
Mo 0.0000 0.0000 0.0000
Mo 1.5865 1.5865 1.3694
P 0.0000 0.0000 2.9788
W 1.5865 1.5865 4.1818
```



Number 1: ΔH_f (0 K) -0.246 eV per atom. Number 2: ΔH_f (0 K) 0.064 eV per atom. Number 3: ΔH_f (0 K) 0.004 eV per atom. Number 4: ΔH_f (0 K) 0.055 eV per atom. Number 5: ΔH_f (0 K) -0.382 eV per atom. Number 6: ΔH_f (0 K) 0.047 eV per atom.